# TePbAu

A relaxed structure of TePbAu (PBE-GGA, OQMD via LeMat-Bulk).

Results
* E_tot: -0.24007 Ry per atom

Geometry as CIF:
```
data_TePbAu
_space_group_name_H-M_alt 'F -4 3 m'
_space_group_IT_number 216
_space_group_name_Hall 'F -4 2 3'
_cell_length_a 7.199
_cell_length_b 7.199
_cell_length_c 7.199
_cell_angle_alpha 90.00
_cell_angle_beta 90.00
_cell_angle_gamma 90.00
loop_
_atom_site_label
_atom_site_fract_x
_atom_site_fract_y
_atom_site_fract_z
_atom_site_occupancy
Te1 0.000 0.000 0.000 1
Pb1 0.250 0.250 0.250 1
Au1 0.250 0.250 0.750 1
```